Below is SmDy4Th5 after structural relaxation, with properties calculated at the PBE-GGA level.

Cell: 11.321 11.321 8.399 Å, 92.26 92.26 17.96°
Atoms (fractional coordinates):
Sm 0.000 0.000 0.000
Dy 0.179 0.179 0.012
Dy 0.408 0.408 0.257
Dy 0.592 0.592 0.743
Dy 0.821 0.821 0.988
Th 0.000 0.000 0.500
Th 0.264 0.264 0.337
Th 0.385 0.385 0.671
Th 0.615 0.615 0.329
Th 0.736 0.736 0.663

Computed properties:
**Calculated volume**: 331.6 Å³ per cell
**Space-group type**: C2/m, No. 12
**M_tot**: 0.00 μB/f.u.
**Energy relative to the elements**: 0.21 eV per atom


Below is KSb2As after structural relaxation, with properties calculated at the PBE-GGA level.

Cell: 3.831 4.310 7.206 Å, 90.00 90.00 90.00°
Atoms (fractional coordinates):
K 0.000 0.000 0.000
Sb 0.500 0.500 0.311
Sb 0.500 0.500 0.689
As 0.000 0.000 0.500

Computed properties:
**Energy relative to the elements, uncorrected**: 0.042 eV/atom
**Calculated volume**: 119.0 Å³ per cell
**Space-group type**: Pmmm, No. 47
**M_tot**: 0.00 μB/f.u.


Below is Li2MgTeSe4 after structural relaxation, with properties calculated at the PBE-GGA level.

Cell: 7.905 7.905 7.905 Å, 120.08 119.70 90.19°
Atoms (fractional coordinates):
Li 0.000 0.000 0.000
Li 0.500 0.000 0.000
Li 0.500 0.000 0.500
Li 0.500 0.500 0.500
Mg 0.000 0.000 0.500
Mg 0.000 0.500 0.000
Te 0.000 0.500 0.500
Te 0.500 0.500 0.000
Se 0.243 0.249 0.993
Se 0.244 0.751 0.493
Se 0.250 0.247 0.497
Se 0.250 0.754 0.003
Se 0.750 0.246 0.997
Se 0.750 0.753 0.503
Se 0.756 0.249 0.507
Se 0.757 0.751 0.007

Computed properties:
**Energy relative to the elements, uncorrected**: -0.769 eV/atom
**Calculated volume**: 349.9 Å³ per cell
**Space-group type**: Imma, No. 74
**M_tot**: 0.00 μB/f.u.


Below is Re3Au after structural relaxation, with properties calculated at the PBE-GGA level.

Cell: 2.839 4.473 4.849 Å, 90.00 90.00 90.00°
Atoms (fractional coordinates):
Re 0.000 0.000 0.000
Re 0.000 0.500 0.321
Re 0.500 0.500 0.831
Au 0.500 0.000 0.496

Computed properties:
**Calculated volume**: 61.6 Å³ per cell
**Space-group type**: Pmm2, No. 25
**M_tot**: 0.00 μB/f.u.
**Energy relative to the elements**: 0.28 eV per atom


Below is Te5Pb6 after structural relaxation, with properties calculated at the PBE-GGA level.

Cell: 7.821 7.821 7.919 Å, 99.50 99.50 119.97°
Atoms (fractional coordinates):
Te 0.000 0.000 0.000
Te 0.165 0.835 0.500
Te 0.321 0.679 0.000
Te 0.679 0.321 0.000
Te 0.835 0.165 0.500
Pb 0.117 0.427 0.270
Pb 0.267 0.267 0.759
Pb 0.427 0.117 0.270
Pb 0.573 0.883 0.730
Pb 0.733 0.733 0.241
Pb 0.883 0.573 0.730

Computed properties:
**Energy relative to the elements, uncorrected**: -0.261 eV/atom
**Calculated volume**: 396.2 Å³ per cell
**Space-group type**: C2/m, No. 12
**M_tot**: 0.00 μB/f.u.


Below is BaCoH2 after structural relaxation, with properties calculated at the PBE-GGA level.

Cell: 5.336 5.336 5.336 Å, 118.77 118.77 92.15°
Atoms (fractional coordinates):
Ba 0.000 0.000 0.000
Ba 0.750 0.250 0.500
Co 0.250 0.750 0.500
Co 0.500 0.500 0.000
H 0.301 0.625 0.176
H 0.375 0.551 0.676
H 0.449 0.125 0.824
H 0.875 0.699 0.324

Computed properties:
**Polymorph energy (0 for the lowest one)**: 0.000 eV per atom
**Calculated volume**: 109.4 Å³ per cell
**Space-group type**: I-42d, No. 122
**M_tot**: 1.00 μB/f.u.